No. 1
TiZnSe2Br | the Alexandria database | PBE | optimized geometry; raw formation energy = 0.28 eV per atom
1.0
4.9241 0.0000 0.0000
0.0000 4.9241 0.0000
0.0000 0.0000 4.9677
Zn Se Br Ti
1 2 1 1
Cartesian
0.0000 0.0000 0.0000 Zn
0.0000 2.4620 0.0000 Se
2.4620 0.0000 0.0000 Se
0.0000 0.0000 2.4838 Br
2.4620 2.4620 2.4838 Ti

---

No. 2
Zr2NiPb2 | the Alexandria database | PBE | optimized geometry; E_tot = -6.012 eV per atom
1.0
-0.7130 -1.3318 -6.7097
0.6362 -6.7298 1.2682
-4.6342 -0.3329 0.5585
Pb Ni Zr
4 2 4
Cartesian
0.2915 -6.1633 -1.2548 Pb
-0.1887 -5.5219 -4.8561 Pb
-0.3682 -1.8983 -4.1867 Pb
0.1119 -2.5397 -0.5855 Pb
0.0000 0.0000 0.0000 Ni
-0.0384 -4.0308 -2.7208 Ni
-2.0114 -4.8314 0.0358 Zr
-2.2550 -6.6916 -3.0940 Zr
-2.6996 -3.5630 -4.9188 Zr
-2.4560 -1.7029 -1.7890 Zr

---

No. 3
LiPuInSb | the Alexandria database | PBE | optimized geometry; raw formation energy = -0.30 eV per atom
1.0
-0.6108 -2.9577 4.2305
4.1140 -2.3342 2.1553
1.8025 1.6316 4.5943
Sb In Li Pu
1 1 1 1
Cartesian
0.0000 0.0000 0.0000 Sb
2.6528 -1.8302 5.4901 In
1.3264 -0.9151 2.7450 Li
3.9793 -2.7452 8.2351 Pu

---

No. 4
HfSN2F | the Alexandria database | PBE | optimized geometry; raw formation energy = -0.12 eV per atom
1.0
4.2745 0.0000 0.0000
0.0000 4.2745 0.0000
0.0000 0.0000 3.9933
S N Hf F
1 2 1 1
Cartesian
2.1372 2.1372 1.9966 S
0.0000 2.1372 0.0000 N
2.1372 0.0000 0.0000 N
0.0000 0.0000 0.0000 Hf
0.0000 0.0000 1.9966 F

---

No. 5
Cd2SBr | the Alexandria database | PBE | optimized geometry; raw formation energy = -0.40 eV per atom
1.0
4.2579 0.0022 -0.0007
2.1311 3.6870 -0.0003
2.1293 1.2274 7.9268
Cd S Br
2 1 1
Cartesian
2.8566 2.7427 4.0357 Cd
2.8603 0.2876 0.6086 Cd
2.8638 2.7458 1.3470 S
4.9886 1.5161 5.7265 Br

---

No. 6
Ce2GaO | the Alexandria database | PBE | optimized geometry; raw formation energy = -1.29 eV per atom
1.0
-2.4560 -1.7254 -0.7702
0.5252 -1.8368 2.4398
-4.4542 4.4251 4.2901
O Ga Ce
1 1 2
Cartesian
-0.9654 -1.7811 0.8348 O
-3.1925 0.4315 2.9799 Ga
-3.5314 3.5083 3.4013 Ce
-0.9228 0.9168 0.8888 Ce

---

No. 7
KSr2Br | the Alexandria database | PBE | optimized geometry; raw formation energy = -0.59 eV per atom
1.0
7.7505 -0.0075 0.0025
2.9889 7.1510 -0.0025
-4.1293 -5.4366 3.6692
Br K Sr
1 1 2
Cartesian
5.4827 3.6470 0.0000 Br
2.7037 3.0349 1.8334 K
10.6573 7.0889 0.0000 Sr
3.8754 -1.3486 1.8358 Sr

---

No. 8
PrGa2Ge | the Alexandria database | PBE | optimized geometry; E_tot = -4.294 eV per atom
1.0
-2.4361 2.4080 -2.2255
1.5789 -4.9141 -3.2965
-6.0668 -3.7108 2.6258
Pr Ga Ge
2 4 2
Cartesian
-2.4556 -2.5931 -3.8665 Pr
-4.4683 -3.6238 0.9702 Pr
-5.3685 -6.4244 -1.0748 Ga
-1.5554 0.2076 -1.8215 Ga
-3.7690 -1.1463 -0.8635 Ga
-3.1550 -5.0705 -2.0328 Ga
-1.3868 -2.2628 -0.9302 Ge
-5.5371 -3.9541 -1.9660 Ge

---

No. 9
Tb2Zn2Cu | the Alexandria database | PBE | optimized geometry; E_tot = -3.482 eV per atom
1.0
4.4517 0.0000 0.0000
2.2259 4.9534 -0.3007
2.2259 0.2876 9.5184
Tb Zn Cu
4 4 2
Cartesian
4.4517 1.6125 3.0939 Tb
6.6776 1.6607 8.3760 Tb
4.4517 3.6285 6.1238 Tb
2.2259 3.5802 0.8417 Tb
2.2259 1.5074 5.2877 Zn
6.6776 4.5581 8.1467 Zn
6.6776 3.7336 3.9300 Zn
2.2259 0.6829 1.0710 Zn
4.4517 0.7046 6.1786 Cu
4.4517 4.5364 3.0391 Cu

---

No. 10
V4C | the Alexandria database | PBE | optimized geometry; E_tot = -9.329 eV per atom
1.0
5.4120 -0.2459 0.0000
-2.3923 4.8607 0.0000
-1.5098 -2.3074 4.6633
V C
8 2
Cartesian
2.4206 1.1335 1.4048 V
-1.4403 0.3645 3.2585 V
-0.2854 1.2565 0.9268 V
-2.6365 2.7949 3.7364 V
0.2442 2.0659 3.7364 V
-2.1069 3.6042 0.9268 V
0.5991 3.4813 1.4048 V
1.4403 -0.3645 3.2585 V
1.5098 2.3074 0.0000 C
-1.1961 2.4304 2.3316 C